The following is a DFT calculation (PBE) of V3W4 after structural relaxation.

* total energy: -11.01 eV per atom

Lattice parameters (Å, degrees): 2.607 6.961 7.008 119.09 100.72 90.00
Sites, in units of the cell vectors:
W: 0.642 0.864 0.284
V: 0.000 0.000 0.000
W: 0.358 0.136 0.716
V: 0.785 0.711 0.570
W: 0.925 0.567 0.850
W: 0.075 0.433 0.150
V: 0.215 0.289 0.430



The following is a DFT calculation (PBE) of VW after structural relaxation.

* total energy: -10.84 eV per atom

Lattice parameters (Å, degrees): 4.587 5.106 10.228 90.00 90.00 90.00
Sites, in units of the cell vectors:
W: 0.529 0.584 0.178
W: 0.944 0.883 0.545
W: 0.056 0.383 0.955
V: 0.561 0.662 0.923
W: 0.471 0.084 0.322
V: 0.439 0.162 0.577
W: 0.971 0.416 0.678
V: 0.973 0.814 0.300
V: 0.527 0.186 0.800
W: 0.556 0.117 0.045
W: 0.444 0.617 0.455
W: 0.029 0.916 0.822
V: 0.473 0.686 0.700
V: 0.939 0.338 0.423
V: 0.061 0.838 0.077
V: 0.027 0.314 0.200



The following is a DFT calculation (PBE) of VW after structural relaxation.

* total energy: -8.43 eV per atom

Lattice parameters (Å, degrees): 5.605 5.605 5.605 90.00 90.00 90.00
Sites, in units of the cell vectors:
V: 0.250 0.750 0.750
V: 0.750 0.750 0.250
V: 0.750 0.250 0.750
V: 0.250 0.250 0.250
W: 0.000 0.000 0.000
W: 0.500 0.000 0.500
W: 0.000 0.500 0.500
W: 0.500 0.500 0.000



The following is a DFT calculation (PBE) of VW after structural relaxation.

* total energy: -11.11 eV per atom

Lattice parameters (Å, degrees): 2.731 4.358 5.076 90.00 100.67 90.00
Sites, in units of the cell vectors:
W: 0.124 0.750 0.370
W: 0.876 0.250 0.630
V: 0.625 0.750 0.878
V: 0.375 0.250 0.122



The following is a DFT calculation (PBE) of V2W13 after structural relaxation.

* total energy: -11.98 eV per atom

Lattice parameters (Å, degrees): 5.716 7.151 7.006 118.05 83.09 90.70
Sites, in units of the cell vectors:
W: 0.579 0.178 0.131
W: 0.000 0.000 0.000
W: 0.947 0.441 0.294
W: 0.401 0.555 0.365
W: 0.644 0.716 0.124
W: 0.599 0.445 0.635
W: 0.872 0.291 0.856
W: 0.421 0.822 0.869
W: 0.128 0.709 0.144
V: 0.280 0.179 0.444
W: 0.843 0.092 0.409
W: 0.053 0.559 0.706
W: 0.157 0.908 0.591
V: 0.720 0.821 0.556
W: 0.356 0.284 0.876



The following is a DFT calculation (PBE) of V3W2 after structural relaxation.

* total energy: -10.71 eV per atom

Lattice parameters (Å, degrees): 5.386 9.042 7.950 47.41 56.41 96.34
Sites, in units of the cell vectors:
V: 0.648 0.400 0.299
W: 0.751 0.000 0.501
V: 0.151 0.400 0.299
V: 0.352 0.600 0.701
V: 0.849 0.600 0.701
W: 0.048 0.798 0.105
V: 0.454 0.202 0.895
W: 0.249 0.000 0.499
W: 0.952 0.202 0.895
V: 0.546 0.798 0.105



> Which value of total energy does entry 3 give?

-8.43 eV per atom